## BePPb2 (GGA-PBE)

Data for a relaxed BePPb2 crystal.

Lattice parameters (Å, degrees): 3.9577 3.9577 7.1317 106.10 106.10 58.66
Element x y z (fractional)
Be (0.0000, 0.0000, 0.0000)
P (0.5000, 0.5000, 0.5000)
Pb (0.2549, 0.2549, 0.7606)
Pb (0.7451, 0.7451, 0.2394)

energy above the lowest structure with this stoichiometry	0.496	eV per atom
SG	C2/m, No. 12
formation enthalpy at 0 K	0.48	eV per atom
density	8.34	g/cm³


## La2TmScSb4 (GGA-PBE)

Data for a relaxed La2TmScSb4 crystal.

Lattice parameters (Å, degrees): 7.6543 4.4564 7.7113 90.00 109.64 90.00
Element x y z (fractional)
La (0.0000, 0.0000, 0.0000)
La (0.0000, 0.5000, 0.5000)
Tm (0.5000, 0.0000, 0.5000)
Sc (0.5000, 0.5000, 0.0000)
Sb (0.2707, 0.5000, 0.2520)
Sb (0.2743, 0.0000, 0.7630)
Sb (0.7257, 0.0000, 0.2370)
Sb (0.7293, 0.5000, 0.7480)

uncorrected formation energy	-1.121	eV/atom
SG	P2/m, No. 10
density	6.56	g/cm³


Q: The lowest density belongs to which entry?
A: La2TmScSb4


Q: Among the records above, which one has the highest density?
A: BePPb2


Q: Number 1 is which compound?
A: BePPb2